Computed, not measured: an optimized crystal structure of NaLiLu at the PBE level of DFT.

Cell: 7.1242 7.1242 7.1242 Å, 90.00 90.00 90.00°
Space group F-43m (No. 216)
One atom of each set of equivalent atoms:
Na1 0.0000 0.0000 0.0000 [4 per cell]
Li1 0.2500 0.2500 0.7500 [4 per cell]
Lu1 0.0000 0.0000 0.5000 [4 per cell]

Values from the calculation:
The polymorph energy (0 for the lowest one) comes out at 0.0000 eV/atom. Its total energy is -1.944 eV/atom. The value obtained for the total moment is 0.00 μB per cell. For the volume, the calculation gives 30.1 Å³/atom.



Computed, not measured: an optimized crystal structure of Dy2Er2TmLu2Ni2Te2 at the PBE level of DFT.

Cell: 3.8158 15.3863 9.4648 Å, 90.00 90.00 90.00°
Space group Imm2 (No. 44)
One atom of each set of equivalent atoms:
Dy1 0.0000 0.1343 0.0000 [4 per cell]
Er1 0.0000 0.3536 0.1468 [4 per cell]
Tm1 0.0000 0.0000 0.4183 [2 per cell]
Lu1 0.0000 0.3149 0.7956 [4 per cell]
Ni1 0.0000 0.2354 0.4869 [4 per cell]
Te1 0.0000 0.0000 0.7553 [2 per cell]
Te2 0.0000 0.5000 0.6535 [2 per cell]

Values from the calculation:
The polymorph energy (0 for the lowest one) comes out at 0.0000 eV/atom. Its total energy is -5.159 eV/atom. The value obtained for the total moment is 0.04 μB per cell. For the volume, the calculation gives 25.3 Å³/atom.